No. 1
The following is a PBE calculation of an optimized crystal structure of Tb5HgAu2, from Alexandria via LeMat-Bulk.

Properties
density of states at the Fermi level = 1.358 states/eV/atom
total magnetic moment = 0.000 μB/atom
formation energy = -0.551 eV per atom

Cell lengths 8.1352, 8.1352, 12.9420 Å; angles 90.00, 90.00, 90.00 degrees
Last column: nearest neighbours and their distance in Å.
Space group I4/mcm (No. 140)
Asymmetric unit:
Tb 0.0000 0.0000 0.0000 x4  4 Au 3.16, 2 Hg 3.24
Tb 0.1567 0.3433 0.1445 x16  3 Au 3.03-3.04, 2 Hg 3.36
Hg 0.0000 0.0000 0.2500 x4  10 Tb 3.24-3.36
Au 0.1353 0.3647 0.5000 x8  8 Tb 3.03-3.16, 1 Au 3.11


No. 2
The following is a PBE calculation of an optimized crystal structure of SiGeOF2, from Alexandria via LeMat-Bulk.

Properties
density of states at the Fermi level = 0.042 states/eV/atom
total magnetic moment = 0.000 μB/atom
formation energy from raw total energies = -1.2378 eV/atom

Cell lengths 4.4215, 4.4215, 3.3852 Å; angles 90.00, 90.00, 90.00 degrees
Last column: nearest neighbours and their distance in Å.
Space group P4/mmm (No. 123)
Asymmetric unit:
Si 0.0000 0.0000 0.0000 x1  2 O 1.69
Ge 0.5000 0.5000 0.5000 x1  8 F 2.78
O 0.0000 0.0000 0.5000 x1  2 Si 1.69
F 0.0000 0.5000 0.0000 x2  2 Si 2.21


No. 3
The following is a PBE calculation of an optimized crystal structure of ZnReBr4, from Alexandria via LeMat-Bulk.

Properties
density of states at the Fermi level = 1.384 states/eV/atom
total magnetic moment = 0.737 μB/atom
formation energy from raw total energies = 1.4333 eV/atom

Cell lengths 8.9454, 8.9454, 8.9454 Å; angles 90.00, 90.00, 90.00 degrees
Last column: nearest neighbours and their distance in Å.
Space group F-43m (No. 216)
Asymmetric unit:
Zn 0.0000 0.0000 0.0000 x4  12 Br 3.71, 4 Re 3.87
Re 0.2500 0.2500 0.2500 x4  12 Br 3.71, 4 Zn 3.87
Br 0.1249 0.1249 0.6249 x16  6 Br 3.16


No. 4
The following is a PBE calculation of an optimized crystal structure of LiCdPd3Pt, from Alexandria via LeMat-Bulk.

Properties
density of states at the Fermi level = 0.914 states/eV/atom
total magnetic moment = 0.000 μB/atom
formation energy = -0.249 eV per atom

Cell lengths 18.0738, 4.6471, 4.6824 Å; angles 90.00, 103.95, 90.00 degrees
Last column: nearest neighbours and their distance in Å.
Space group C2/m (No. 12)
Asymmetric unit:
Li 0.1162 0.0000 0.3946 x4  5 Pd 2.55-2.80, 2 Pt 2.69, 1 Cd 2.72
Cd 0.2044 0.0000 0.9998 x4  2 Li 2.72-2.90, 5 Pd 2.76-2.88, 2 Cd 2.85
Pd 0.0425 0.0000 0.7957 x4  3 Li 2.55-2.80, 4 Pd 2.71-2.82, 2 Pt 2.73, 1 Cd 2.85
Pd 0.1217 0.5000 0.8497 x4  4 Pd 2.71-2.76, 3 Pt 2.71-2.83, 2 Cd 2.76
Pd 0.2034 0.5000 0.4222 x4  4 Pd 2.73-2.86, 2 Li 2.79, 4 Cd 2.82-3.05, 1 Pt 2.87
Pt 0.0397 0.5000 0.2827 x4  2 Pt 2.69-2.76, 2 Li 2.69, 6 Pd 2.71-2.87


No. 5
The following is a PBE calculation of an optimized crystal structure of AcHo2In, from Alexandria via LeMat-Bulk.

Properties
density of states at the Fermi level = 1.816 states/eV/atom
total magnetic moment = 0.231 μB/atom
formation energy = -0.019 eV per atom

Cell lengths 7.9085, 7.9085, 7.9085 Å; angles 90.00, 90.00, 90.00 degrees
Last column: nearest neighbours and their distance in Å.
Space group Fm-3m (No. 225)
Asymmetric unit:
Ac 0.0000 0.0000 0.0000 x4  8 Ho 3.42
Ho 0.2500 0.2500 0.2500 x8  4 Ac 3.42, 4 In 3.42
In 0.0000 0.0000 0.5000 x4  8 Ho 3.42


No. 6
The following is a PBE calculation of an optimized crystal structure of SmHo2IrO8, from Alexandria via LeMat-Bulk.

Properties
density of states at the Fermi level = 0.436 states/eV/atom
total magnetic moment = 0.146 μB/atom
formation energy from raw total energies = -2.3454 eV/atom

Cell lengths 5.0425, 6.8299, 5.0546 Å; angles 90.00, 90.02, 90.00 degrees
Last column: nearest neighbours and their distance in Å.
Space group P2/m (No. 10)
Asymmetric unit:
Sm 0.0000 0.0000 0.0000 x1  6 O 2.24-2.41
Ho 0.5000 0.2487 0.5000 x2  6 O 2.16-2.38
Ir 0.0000 0.5000 0.0000 x1  6 O 1.92-1.94
O 0.1870 0.2936 0.8150 x4  1 Ir 1.94
O 0.2677 0.5000 0.2691 x2  1 Ir 1.92
O 0.3130 0.0000 0.3142 x2  2 Ho 2.16, 1 Sm 2.24


No. 7
The following is a PBE calculation of an optimized crystal structure of Cu2PSe, from Alexandria via LeMat-Bulk.

Properties
density of states at the Fermi level = 0.741 states/eV/atom
total magnetic moment = 0.000 μB/atom
formation energy from raw total energies = 0.4248 eV/atom

Cell lengths 6.2274, 6.2274, 6.2274 Å; angles 90.00, 90.00, 90.00 degrees
Last column: nearest neighbours and their distance in Å.
Space group Fm-3m (No. 225)
Asymmetric unit:
Cu 0.2500 0.2500 0.2500 x8  4 Se 2.70, 4 P 2.70
P 0.0000 0.0000 0.0000 x4  8 Cu 2.70
Se 0.0000 0.0000 0.5000 x4  8 Cu 2.70


No. 8
The following is a PBE calculation of an optimized crystal structure of BeTcHg2Se, from Alexandria via LeMat-Bulk.

Properties
density of states at the Fermi level = 0.615 states/eV/atom
total magnetic moment = 0.068 μB/atom
formation energy from raw total energies = 0.8470 eV/atom

Cell lengths 5.4462, 5.4462, 4.6064 Å; angles 90.00, 90.00, 90.00 degrees
Last column: nearest neighbours and their distance in Å.
Space group P4/mmm (No. 123)
Asymmetric unit:
Be 0.0000 0.0000 0.0000 x1  8 Hg 3.57, 4 Se 3.85
Tc 0.5000 0.5000 0.5000 x1  2 Se 2.30
Hg 0.0000 0.5000 0.5000 x2  2 Tc 2.72
Se 0.5000 0.5000 0.0000 x1  2 Tc 2.30


No. 9
The following is a PBE calculation of an optimized crystal structure of CrGa2ReSe, from Alexandria via LeMat-Bulk.

Properties
density of states at the Fermi level = 0.600 states/eV/atom
total magnetic moment = 0.370 μB/atom
formation energy from raw total energies = 0.6854 eV/atom

Cell lengths 4.8710, 4.8710, 4.6892 Å; angles 90.00, 90.00, 90.00 degrees
Last column: nearest neighbours and their distance in Å.
Space group P4/mmm (No. 123)
Asymmetric unit:
Cr 0.0000 0.0000 0.0000 x1  2 Re 2.34
Ga 0.0000 0.5000 0.5000 x2  2 Re 2.44
Re 0.0000 0.0000 0.5000 x1  2 Cr 2.34, 4 Ga 2.44
Se 0.5000 0.5000 0.0000 x1  8 Ga 3.38, 4 Cr 3.44


No. 10
The following is a PBE calculation of an optimized crystal structure of LiScZn6Cu, from Alexandria via LeMat-Bulk.

Properties
density of states at the Fermi level = 0.596 states/eV/atom
total magnetic moment = 0.000 μB/atom
formation energy = -0.008 eV per atom

Cell lengths 6.7193, 8.7123, 10.5224 Å; angles 90.00, 90.00, 90.00 degrees
Last column: nearest neighbours and their distance in Å.
Space group Imma (No. 74)
Asymmetric unit:
Li 0.2500 0.2500 0.2500 x4  6 Zn 2.55-2.75
Sc 0.0000 0.2500 0.7034 x4  9 Zn 2.85-2.96, 2 Cu 3.05
Zn 0.0000 0.2500 0.0143 x4  8 Zn 2.78-2.97, 2 Li 3.00
Zn 0.0000 0.2500 0.4326 x4  2 Cu 2.29, 2 Li 2.55
Zn 0.1921 0.0255 0.8726 x16  1 Cu 2.48, 3 Zn 2.58-2.72, 1 Li 2.75
Cu 0.0000 0.0000 0.5000 x4  6 Zn 2.29-2.48


No. 11
The following is a PBE calculation of an optimized crystal structure of ReHIr2W, from Alexandria via LeMat-Bulk.

Properties
density of states at the Fermi level = 0.551 states/eV/atom
total magnetic moment = 0.000 μB/atom
total energy = -46.5 eV/cell

Cell lengths 3.8933, 3.8933, 4.0848 Å; angles 90.00, 90.00, 90.00 degrees
Last column: nearest neighbours and their distance in Å.
Space group P4/mmm (No. 123)
Asymmetric unit:
Re 0.0000 0.0000 0.0000 x1  4 W 2.75, 8 Ir 2.82
H 0.5000 0.5000 0.5000 x1  4 Ir 1.95, 2 W 2.04
Ir 0.0000 0.5000 0.5000 x2  2 H 1.95
W 0.5000 0.5000 0.0000 x1  2 H 2.04


No. 12
The following is a PBE calculation of an optimized crystal structure of BaMg2Pd, from Alexandria via LeMat-Bulk.

Properties
density of states at the Fermi level = 0.534 states/eV/atom
total magnetic moment = 0.000 μB/atom
formation energy = -0.284 eV per atom

Cell lengths 3.4583, 3.4583, 8.5709 Å; angles 90.00, 90.00, 90.00 degrees
Last column: nearest neighbours and their distance in Å.
Space group P4/mmm (No. 123)
Asymmetric unit:
Ba 0.0000 0.0000 0.0000 x1  4 Ba 3.46, 8 Mg 3.75
Mg 0.5000 0.5000 0.3323 x2  4 Pd 2.84, 1 Mg 2.87
Pd 0.0000 0.0000 0.5000 x1  8 Mg 2.84